Compound: Pr6SmDyTm2
Source: the Alexandria database
Functional: GGA-PBE
Structure: relaxed

## Properties
DFT formation energy   1.14 eV per formula unit
Crystal system   monoclinic
Total DFT energy (no corrections)   -183.22 eV for the cell shown

Cell: 9.3715 15.3271 9.6998 Å, 90.00 97.36 90.00°
Space group C2/c (No. 15)
Unique sites:
Pr1 0.0630 0.1751 0.4452 (multiplicity 8)
Pr2 0.0954 0.3907 0.6175 (multiplicity 8)
Pr3 0.2166 0.2224 0.8133 (multiplicity 8)
Sm1 0.0000 0.0298 0.7500 (multiplicity 4)
Dy1 0.0000 0.4112 0.2500 (multiplicity 4)
Tm1 0.2488 0.0476 0.0485 (multiplicity 8)


Compound: PrSmDy4Tm2
Source: the Alexandria database
Functional: GGA-PBE
Structure: relaxed

## Properties
DFT formation energy   0.15 eV per formula unit
Crystal system   monoclinic
Total DFT energy (no corrections)   -146.81 eV for the cell shown

Cell: 12.3266 7.1194 12.3289 Å, 90.00 109.52 90.00°
Space group C2/m (No. 12)
Unique sites:
Pr1 0.2500 0.2500 0.0000 (multiplicity 4)
Sm1 0.0000 0.0000 0.0000 (multiplicity 2)
Sm2 0.0000 0.0000 0.5000 (multiplicity 2)
Dy1 0.0014 0.2507 0.2527 (multiplicity 8)
Dy2 0.2492 0.0000 0.7469 (multiplicity 4)
Dy3 0.2488 0.5000 0.7462 (multiplicity 4)
Tm1 0.0000 0.5000 0.0000 (multiplicity 2)
Tm2 0.0000 0.5000 0.5000 (multiplicity 2)
Tm3 0.2500 0.2500 0.5000 (multiplicity 4)


Compound: PrSm4DyTm2
Source: the Alexandria database
Functional: GGA-PBE
Structure: relaxed

## Properties
DFT formation energy   3.26 eV per formula unit
Crystal system   monoclinic
Total DFT energy (no corrections)   -135.78 eV for the cell shown

Cell: 13.6795 13.2776 6.8436 Å, 90.00 120.00 90.00°
Space group C2/c (No. 15)
Unique sites:
Pr1 0.2500 0.2500 0.0000 (multiplicity 4)
Sm1 0.9998 0.2480 0.0000 (multiplicity 8)
Sm2 0.2487 0.0036 0.4937 (multiplicity 8)
Dy1 0.0000 0.5000 0.0000 (multiplicity 4)
Tm1 0.0000 0.0000 0.0000 (multiplicity 4)
Tm2 0.2500 0.2500 0.5000 (multiplicity 4)


- Which of these has the lowest total DFT energy (no corrections)?
  Pr6SmDyTm2


What did the second record say?
Compound: PrSmDy4Tm2
Source: the Alexandria database
Functional: GGA-PBE
Structure: relaxed

## Properties
DFT formation energy   0.15 eV per formula unit
Crystal system   monoclinic
Total DFT energy (no corrections)   -146.81 eV for the cell shown

Cell: 12.3266 7.1194 12.3289 Å, 90.00 109.52 90.00°
Space group C2/m (No. 12)
Unique sites:
Pr1 0.2500 0.2500 0.0000 (multiplicity 4)
Sm1 0.0000 0.0000 0.0000 (multiplicity 2)
Sm2 0.0000 0.0000 0.5000 (multiplicity 2)
Dy1 0.0014 0.2507 0.2527 (multiplicity 8)
Dy2 0.2492 0.0000 0.7469 (multiplicity 4)
Dy3 0.2488 0.5000 0.7462 (multiplicity 4)
Tm1 0.0000 0.5000 0.0000 (multiplicity 2)
Tm2 0.0000 0.5000 0.5000 (multiplicity 2)
Tm3 0.2500 0.2500 0.5000 (multiplicity 4)


- Look up the total DFT energy (no corrections) of the third one.
  -135.78 eV for the cell shown